Record 1
CsBeCd2Pt: relaxed, PBE-GGA.

Cell: 5.4304 5.4304 4.5377 Å, 90.00 90.00 90.00°
Fractional positions:
Cs (0.5000, 0.5000, 0.5000)
Be (0.0000, 0.0000, 0.5000)
Cd (0.0000, 0.5000, 0.0000)
Cd (0.5000, 0.0000, 0.0000)
Pt (0.0000, 0.0000, 0.0000)

Output
E_form ... -0.056 eV/atom
V ... 133.8 Å³ per cell
Mass density ... 6.97 Mg/m³
Spin magnetization ... 0.0 μB/cell
Space-group type ... P4/mmm, No. 123
Calculated total energy ... -2.546 eV/atom



Record 2
BaCaNiH6: relaxed, PBE-GGA.

Cell: 5.0313 5.0317 4.9608 Å, 90.00 89.99 60.00°
Fractional positions:
H (0.0335, 0.4833, 0.7218)
Ni (0.3333, 0.3333, 0.5229)
Ba (0.9999, 0.0001, 0.8750)
Ca (0.6666, 0.6667, 0.3833)
H (0.4831, 0.0337, 0.7219)
H (0.6497, 0.1751, 0.3513)
H (0.4830, 0.4833, 0.7218)
H (0.1753, 0.1752, 0.3510)
H (0.1753, 0.6494, 0.3509)

Output
V ... 108.8 Å³ per cell
Mass density ... 3.70 Mg/m³
Spin magnetization ... 0.0 μB/cell
Space-group type ... P3m1, No. 156
Calculated total energy ... -3.682 eV/atom



Record 3
CePu2Ge4: relaxed, PBE-GGA.

Cell: 5.7284 5.7771 6.3512 Å, 117.05 90.00 90.00°
Last column: magnetic moment on the atom in μB.
Fractional positions:
Pu (0.5000, 0.1422, 0.2845)  -5.37
Ge (0.5000, 0.3940, 0.7880)  0.03
Ge (0.5000, 0.6060, 0.2120)  0.03
Ge (0.0000, 0.1113, 0.2227)  0.02
Pu (0.5000, 0.8578, 0.7155)  -5.37
Ge (0.0000, 0.8887, 0.7773)  0.02
Ce (0.0000, 0.5000, 0.0000)  0.72

Output
E_form ... -0.182 eV/atom
V ... 187.2 Å³ per cell
Mass density ... 8.15 Mg/m³
Spin magnetization ... 10.4 μB/cell
Space-group type ... Cmmm, No. 65
Calculated total energy ... -7.763 eV/atom



Record 4
Mg12Tl2Hg5: relaxed, PBE-GGA.

Cell: 6.3045 8.6173 9.6623 Å, 103.59 90.00 111.46°
Fractional positions:
Hg (0.3049, 0.6098, 0.6307)
Mg (0.8964, 0.3051, 0.6057)
Mg (0.4087, 0.3051, 0.6057)
Hg (0.3515, 0.7030, 0.1441)
Hg (0.6485, 0.2970, 0.8559)
Hg (0.6951, 0.3902, 0.3693)
Mg (0.1036, 0.6949, 0.3943)
Tl (0.2462, 0.0000, 0.0000)
Tl (0.7538, 0.0000, 0.0000)
Mg (0.0574, 0.6076, 0.8879)
Mg (0.5913, 0.6949, 0.3943)
Mg (0.9426, 0.3924, 0.1121)
Mg (0.8791, 0.7583, 0.6787)
Mg (0.4499, 0.3924, 0.1121)
Mg (0.4839, 0.9677, 0.6623)
Mg (0.5501, 0.6076, 0.8879)
Hg (0.0000, 0.0000, 0.5000)
Mg (0.5161, 0.0323, 0.3377)
Mg (0.1209, 0.2417, 0.3213)

Output
E_form ... -0.061 eV/atom
V ... 472.7 Å³ per cell
Mass density ... 5.98 Mg/m³
Spin magnetization ... 0.0 μB/cell
Space-group type ... C2/m, No. 12
Calculated total energy ... -1.396 eV/atom



Record 5
Dy3Te2C: relaxed, PBE-GGA.

Cell: 3.8607 5.8323 7.5004 Å, 112.88 104.91 90.00°
Fractional positions:
Te (0.3206, 0.8206, 0.6411)
Dy (0.3792, 0.3792, 0.7583)
Dy (0.6208, 0.6208, 0.2417)
Dy (0.0000, 0.0000, 0.0000)
C (0.0000, 0.5000, 0.0000)
Te (0.6794, 0.1794, 0.3589)

Output
V ... 149.4 Å³ per cell
Mass density ... 8.39 Mg/m³
Spin magnetization ... 0.0 μB/cell
Space-group type ... Immm, No. 71
Raw formation energy ... -968 meV per atom
Calculated total energy ... -5.853 eV/atom



Record 6
Li2CaZn2: relaxed, PBE-GGA.

Cell: 5.2552 4.9990 4.9990 Å, 120.00 90.00 90.00°
Fractional positions:
Ca (0.0000, 0.0000, 0.0000)
Zn (0.1030, 0.6667, 0.3333)
Li (0.6038, 0.6667, 0.3333)
Zn (0.8970, 0.3333, 0.6667)
Li (0.3962, 0.3333, 0.6667)

Output
E_form ... -0.051 eV/atom
V ... 113.7 Å³ per cell
Mass density ... 2.70 Mg/m³
Spin magnetization ... 0.0 μB/cell
Space-group type ... P-3m1, No. 164
Calculated total energy ... -1.726 eV/atom



Record 7
IrPdN2F: relaxed, PBE-GGA.

Cell: 3.8206 3.8206 4.3429 Å, 90.00 90.00 90.00°
Fractional positions:
N (0.5000, 0.0000, 0.0000)
Ir (0.0000, 0.0000, 0.0000)
N (0.0000, 0.5000, 0.0000)
Pd (0.5000, 0.5000, 0.5000)
F (0.0000, 0.0000, 0.5000)

Output
V ... 63.4 Å³ per cell
Mass density ... 9.05 Mg/m³
Spin magnetization ... 0.0 μB/cell
Space-group type ... P4/mmm, No. 123
Raw formation energy ... 755 meV per atom
Calculated total energy ... -5.761 eV/atom



Record 8
TiCuP2: relaxed, PBE-GGA.

Cell: 4.3156 4.3156 4.3156 Å, 60.00 60.00 60.00°
Fractional positions:
P (0.7500, 0.7500, 0.7500)
Ti (0.0000, 0.0000, 0.0000)
Cu (0.5000, 0.5000, 0.5000)
P (0.2500, 0.2500, 0.2500)

Output
E_form ... -0.134 eV/atom
V ... 56.8 Å³ per cell
Mass density ... 5.07 Mg/m³
Spin magnetization ... 0.0 μB/cell
Space-group type ... Fm-3m, No. 225
Calculated total energy ... -5.837 eV/atom



Record 9
ZrGa4Ni15: relaxed, PBE-GGA.

Cell: 3.6320 3.6320 17.9573 Å, 90.00 90.00 90.00°
Last column: magnetic moment on the atom in μB.
Fractional positions:
Ni (0.5000, 0.0000, 0.6963)  0.26
Ni (0.0000, 0.5000, 0.1083)  0.13
Ni (0.5000, 0.5000, 0.2057)  0.23
Ni (0.5000, 0.5000, 0.7943)  0.23
Ni (0.0000, 0.5000, 0.3037)  0.26
Ni (0.5000, 0.0000, 0.5000)  0.28
Ga (0.0000, 0.0000, 0.7935)  -0.02
Ga (0.0000, 0.0000, 0.2065)  -0.02
Ga (0.0000, 0.0000, 0.4019)  -0.02
Ni (0.0000, 0.5000, 0.5000)  0.28
Ni (0.0000, 0.5000, 0.6963)  0.26
Zr (0.0000, 0.0000, 0.0000)  -0.03
Ga (0.0000, 0.0000, 0.5981)  -0.02
Ni (0.5000, 0.5000, 0.0000)  0.03
Ni (0.5000, 0.0000, 0.3037)  0.26
Ni (0.5000, 0.0000, 0.8917)  0.13
Ni (0.5000, 0.5000, 0.4019)  0.29
Ni (0.0000, 0.5000, 0.8917)  0.13
Ni (0.5000, 0.5000, 0.5981)  0.29
Ni (0.5000, 0.0000, 0.1083)  0.13

Output
E_form ... -0.317 eV/atom
V ... 236.9 Å³ per cell
Mass density ... 8.77 Mg/m³
Spin magnetization ... 2.9 μB/cell
Space-group type ... P4/mmm, No. 123
Calculated total energy ... -5.685 eV/atom



Record 10
ThTeP: relaxed, PBE-GGA.

Cell: 4.5822 4.8239 11.0797 Å, 89.92 96.14 121.74°
Fractional positions:
Th (0.0551, 0.2764, 0.1752)
Te (0.8083, 0.6525, 0.3287)
P (0.6755, 0.0887, 0.9284)
P (0.3245, 0.9113, 0.0716)
Te (0.1917, 0.3475, 0.6713)
Th (0.9449, 0.7236, 0.8248)

Output
V ... 206.7 Å³ per cell
Mass density ... 6.28 Mg/m³
Spin magnetization ... 0.0 μB/cell
Space-group type ... P-1, No. 2
Raw formation energy ... -1070 meV per atom
Calculated total energy ... -6.394 eV/atom



Record 11
TlReSe2: relaxed, PBE-GGA.

Cell: 3.3882 4.7491 4.8633 Å, 90.00 90.00 90.00°
Fractional positions:
Se (0.0000, 0.0000, 0.0000)
Re (0.0000, 0.5000, 0.5000)
Se (0.5000, 0.5000, 0.0000)
Tl (0.5000, 0.0000, 0.5000)

Output
V ... 78.3 Å³ per cell
Mass density ... 11.64 Mg/m³
Spin magnetization ... 0.0 μB/cell
Space-group type ... Pmmm, No. 47
Raw formation energy ... 1048 meV per atom
Calculated total energy ... -4.398 eV/atom



Record 12
Zn5Cu3Br12: relaxed, PBE-GGA.

Cell: 14.0562 14.0562 14.0562 Å, 109.47 109.47 109.47°
Fractional positions:
Br (0.2880, 0.4167, 0.8219)
Br (0.6288, 0.5948, 0.9167)
Br (0.4052, 0.0340, 0.3219)
Br (0.0833, 0.1781, 0.2120)
Br (0.0948, 0.1781, 0.4660)
Zn (0.8750, 0.6250, 0.7500)
Br (0.9660, 0.3712, 0.2880)
Cu (0.3750, 0.6250, 0.2500)
Zn (0.1250, 0.7500, 0.3750)
Br (0.1781, 0.0948, 0.9660)
Zn (0.3750, 0.1250, 0.7500)
Cu (0.8750, 0.1250, 0.2500)
Br (0.9167, 0.0948, 0.6288)
Cu (0.7500, 0.8750, 0.6250)
Br (0.2120, 0.5340, 0.6288)
Br (0.3219, 0.5340, 0.4052)
Br (0.4660, 0.6781, 0.0948)
Zn (0.2500, 0.3750, 0.6250)
Cu (0.1250, 0.8750, 0.7500)
Cu (0.2500, 0.1250, 0.3750)
Zn (0.7500, 0.1250, 0.8750)
Br (0.3712, 0.9660, 0.7880)
Br (0.7880, 0.3219, 0.9167)
Zn (0.5000, 0.0000, 0.0000)
Br (0.5340, 0.3219, 0.9052)
Zn (0.2500, 0.8750, 0.1250)
Cu (0.8750, 0.7500, 0.1250)
Br (0.9052, 0.0833, 0.8712)
Br (0.9167, 0.8219, 0.7880)
Zn (0.0000, 0.5000, 0.5000)
Br (0.1781, 0.0833, 0.7120)
Br (0.4660, 0.7880, 0.8712)
Br (0.7120, 0.5833, 0.1781)
Br (0.2120, 0.6781, 0.0833)
Br (0.9052, 0.8219, 0.5340)
Br (0.7880, 0.4660, 0.3712)
Br (0.5340, 0.2120, 0.1288)
Zn (0.5000, 0.5000, 0.5000)
Zn (0.3750, 0.2500, 0.1250)
Cu (0.6250, 0.2500, 0.3750)
Zn (0.8750, 0.2500, 0.6250)
Br (0.0948, 0.9167, 0.1288)
Br (0.5833, 0.8712, 0.4052)
Br (0.4167, 0.1288, 0.5948)
Zn (0.1250, 0.3750, 0.2500)
Zn (0.0000, 0.0000, 0.5000)
Zn (0.0000, 0.5000, 0.0000)
Br (0.1288, 0.7120, 0.5340)
Br (0.2880, 0.8712, 0.9660)
Br (0.6288, 0.0340, 0.2120)
Zn (0.6250, 0.8750, 0.2500)
Br (0.5948, 0.9660, 0.6781)
Br (0.0340, 0.6288, 0.7120)
Br (0.6781, 0.4660, 0.5948)
Br (0.9660, 0.5948, 0.1781)
Cu (0.7500, 0.3750, 0.1250)
Zn (0.7500, 0.6250, 0.3750)
Br (0.8712, 0.5833, 0.9052)
Zn (0.0000, 0.0000, 0.0000)
Br (0.7120, 0.1288, 0.0340)
Cu (0.6250, 0.3750, 0.7500)
Zn (0.5000, 0.5000, 0.0000)
Br (0.0340, 0.4052, 0.8219)
Cu (0.3750, 0.7500, 0.6250)
Br (0.4167, 0.2880, 0.3219)
Br (0.4052, 0.3712, 0.5833)
Zn (0.5000, 0.0000, 0.5000)
Br (0.8219, 0.9167, 0.2880)
Br (0.6781, 0.2120, 0.5833)
Br (0.8219, 0.9052, 0.0340)
Br (0.3219, 0.7880, 0.4167)
Br (0.8712, 0.2880, 0.4660)
Br (0.0833, 0.9052, 0.3712)
Cu (0.2500, 0.6250, 0.8750)
Br (0.1288, 0.4167, 0.0948)
Br (0.3712, 0.4052, 0.0833)
Br (0.5833, 0.7120, 0.6781)
Br (0.5948, 0.6288, 0.4167)
Cu (0.1250, 0.2500, 0.8750)
Zn (0.6250, 0.7500, 0.8750)

Output
V ... 2137.9 Å³ per cell
Mass density ... 4.59 Mg/m³
Spin magnetization ... 0.0 μB/cell
Space-group type ... Ia-3d, No. 230
Raw formation energy ... -389 meV per atom
Calculated total energy ... -2.326 eV/atom



Record 13
Tl2HgF: relaxed, PBE-GGA.

Cell: 5.8754 5.8754 8.8205 Å, 70.55 70.55 90.00°
Fractional positions:
Tl (0.2172, 0.6250, 0.2500)
Tl (0.5328, 0.1250, 0.2500)
Hg (0.0000, 0.0000, 0.0000)
Hg (0.7500, 0.2500, 0.5000)
F (0.5000, 0.5000, 0.0000)
F (0.2500, 0.7500, 0.5000)
Tl (0.8750, 0.7828, 0.7500)
Tl (0.3750, 0.4672, 0.7500)

Output
V ... 268.6 Å³ per cell
Mass density ... 7.77 Mg/m³
Spin magnetization ... 0.0 μB/cell
Space-group type ... I-42d, No. 122
Raw formation energy ... -700 meV per atom
Calculated total energy ... -2.426 eV/atom



Record 14
Rb4SmTh3Te8: relaxed, PBE-GGA.

Cell: 9.0444 10.1962 9.0443 Å, 116.34 120.00 90.00°
Fractional positions:
Te (0.2635, 0.2914, 0.0274)
Te (0.7639, 0.2914, 0.5277)
Rb (0.5000, 0.0000, 0.0000)
Rb (0.0000, 0.0000, 0.5000)
Sm (0.0000, 0.5000, 0.0000)
Te (0.2361, 0.7086, 0.4723)
Te (0.7365, 0.7086, 0.9726)
Te (0.7639, 0.2914, 0.0274)
Th (0.5000, 0.5000, 0.5000)
Rb (0.5000, 0.0000, 0.5000)
Te (0.7370, 0.7109, 0.4741)
Te (0.2361, 0.7086, 0.9726)
Th (0.5000, 0.5000, 0.0000)
Th (0.0000, 0.5000, 0.5000)
Rb (0.0000, 0.0000, 0.0000)
Te (0.2630, 0.2891, 0.5259)

Output
V ... 620.3 Å³ per cell
Mass density ... 5.91 Mg/m³
Spin magnetization ... 0.0 μB/cell
Space-group type ... R-3m, No. 166
Raw formation energy ... -1219 meV per atom
Calculated total energy ... -4.718 eV/atom



Record 15
BaWAu: relaxed, PBE-GGA.

Cell: 5.4424 5.4424 5.4424 Å, 60.00 60.00 60.00°
Last column: magnetic moment on the atom in μB.
Fractional positions:
Au (0.5000, 0.5000, 0.5000)  0.07
W (0.0000, 0.0000, 0.0000)  3.33
Ba (0.2500, 0.2500, 0.2500)  0.17

Output
E_form ... 1.798 eV/atom
V ... 114.0 Å³ per cell
Mass density ... 7.55 Mg/m³
Spin magnetization ... 5.0 μB/cell
Space-group type ... F-43m, No. 216
Calculated total energy ... -4.253 eV/atom



Record 16
SbP2Rh: relaxed, PBE-GGA.

Cell: 4.2363 4.1400 4.4883 Å, 76.16 90.00 90.00°
Fractional positions:
P (0.5000, 0.2724, 0.2656)
Sb (0.5000, 0.7031, 0.6855)
P (0.0000, 0.0338, 0.1349)
Rh (0.0000, 0.4907, 0.4140)

Output
V ... 76.4 Å³ per cell
Mass density ... 6.23 Mg/m³
Spin magnetization ... 0.0 μB/cell
Space-group type ... Pm, No. 6
Raw formation energy ... -2 meV per atom
Calculated total energy ... -5.575 eV/atom



Record 17
NbAgP3: relaxed, PBE-GGA.

Cell: 4.8229 4.8229 4.8229 Å, 90.00 90.00 90.00°
Fractional positions:
Ag (0.5000, 0.5000, 0.5000)
P (0.0000, 0.0000, 0.5000)
P (0.5000, 0.0000, 0.0000)
P (0.0000, 0.5000, 0.0000)
Nb (0.0000, 0.0000, 0.0000)

Output
E_form ... 0.488 eV/atom
V ... 112.2 Å³ per cell
Mass density ... 4.35 Mg/m³
Spin magnetization ... 0.0 μB/cell
Space-group type ... Pm-3m, No. 221
Calculated total energy ... -5.342 eV/atom



Record 18
LiLaW2: relaxed, PBE-GGA.

Cell: 6.0449 6.0449 6.0449 Å, 150.78 134.56 54.94°
Fractional positions:
W (0.5125, 0.5125, 0.0000)
La (0.2500, 0.7500, 0.5000)
Li (0.7500, 0.2500, 0.5000)
W (0.9875, 0.9875, 0.0000)

Output
E_form ... 0.723 eV/atom
V ... 76.4 Å³ per cell
Mass density ... 11.17 Mg/m³
Spin magnetization ... 0.0 μB/cell
Space-group type ... Immm, No. 71
Calculated total energy ... -7.464 eV/atom



Record 19
Nd2Y2Sc7: relaxed, PBE-GGA.

Cell: 5.8220 7.6233 7.6233 Å, 90.75 106.42 106.42°
Fractional positions:
Nd (0.4120, 0.7562, 0.7562)
Sc (0.8492, 0.0643, 0.6012)
Sc (0.1508, 0.9357, 0.3988)
Y (0.5000, 0.2232, 0.7768)
Sc (0.1895, 0.4009, 0.4009)
Y (0.5000, 0.7768, 0.2232)
Sc (0.1508, 0.3988, 0.9357)
Nd (0.5880, 0.2438, 0.2438)
Sc (0.8492, 0.6012, 0.0643)
Sc (0.8105, 0.5991, 0.5991)
Sc (0.0000, 0.0000, 0.0000)

Output
E_form ... 0.174 eV/atom
V ... 309.7 Å³ per cell
Mass density ... 4.19 Mg/m³
Spin magnetization ... 0.0 μB/cell
Space-group type ... C2/m, No. 12
Calculated total energy ... -5.898 eV/atom



Record 20
TbMg2Cd4: relaxed, PBE-GGA.

Cell: 6.5245 6.5245 6.8012 Å, 129.64 75.95 126.01°
Fractional positions:
Mg (0.7109, 0.7125, 0.4234)
Cd (0.2536, 0.7536, 0.5000)
Cd (0.5000, 0.0000, 0.0000)
Tb (0.0000, 0.0000, 0.0000)
Cd (0.7464, 0.2464, 0.5000)
Cd (0.0000, 0.5000, 0.0000)
Mg (0.2891, 0.2875, 0.5766)

Output
E_form ... -0.042 eV/atom
V ... 176.2 Å³ per cell
Mass density ... 6.19 Mg/m³
Spin magnetization ... 0.0 μB/cell
Space-group type ... C2/m, No. 12
Calculated total energy ... -1.682 eV/atom